1.
! PBE-GGA Li2NpCrS4, relaxed; values from VASP
! symmetry: No. 10
! Fermi-level density of states: 8.133 states/eV/cell
! formation energy without anion corrections: -886 kJ/mol of formula units
&SYSTEM
  ibrav = 0, nat = 8, ntyp = 4
/
ATOMIC_SPECIES
Cr 52.00 Cr.upf
S 32.06 S.upf
Np 237.00 Np.upf
Li 6.94 Li.upf
CELL_PARAMETERS angstrom
-1.0350 -2.1523 -2.9221
6.0801 -0.9895 -1.4247
-1.9659 -4.6223 4.1010
ATOMIC_POSITIONS crystal
Cr 0.0000 0.0000 0.0000
S 0.0000 0.7656 0.2501
Np 0.5000 0.5000 0.0000
Li 0.0000 0.5000 0.5000
S 0.5000 0.2244 0.2340
S 0.5000 0.7756 0.7660
S 0.0000 0.2344 0.7499
Li 0.5000 0.0000 0.5000


2.
! PBE-GGA Li3Np3CrSe8, relaxed; values from VASP
! symmetry: No. 12
! Fermi-level density of states: 22.149 states/eV/cell
! formation energy without anion corrections: -1515 kJ/mol of formula units
&SYSTEM
  ibrav = 0, nat = 15, ntyp = 4
/
ATOMIC_SPECIES
Se 78.96 Se.upf
Np 237.00 Np.upf
Li 6.94 Li.upf
Cr 52.00 Cr.upf
CELL_PARAMETERS angstrom
8.0409 -0.0001 -0.0001
-4.0205 6.9415 -0.0090
0.0000 -4.5898 6.5077
ATOMIC_POSITIONS crystal
Se 0.7657 0.5315 0.2614
Se 0.2326 0.0057 0.7383
Np 0.5000 0.0000 0.5000
Np 0.0000 0.5000 0.5000
Se 0.2343 0.4685 0.7386
Np 0.5000 0.5000 0.5000
Li 0.5000 0.5000 0.0000
Se 0.7540 0.5079 0.7617
Cr 0.0000 0.0000 0.5000
Se 0.2460 0.4921 0.2383
Se 0.2269 0.9943 0.2617
Li 0.0000 0.0000 0.0000
Se 0.7674 0.9943 0.2617
Li 0.0000 0.5000 0.0000
Se 0.7731 0.0057 0.7383


3.
! PBE-GGA Li2NpCrSe4, relaxed; values from VASP
! symmetry: No. 10
! Fermi-level density of states: 9.144 states/eV/cell
! formation energy without anion corrections: -766 kJ/mol of formula units
&SYSTEM
  ibrav = 0, nat = 8, ntyp = 4
/
ATOMIC_SPECIES
Cr 52.00 Cr.upf
Se 78.96 Se.upf
Li 6.94 Li.upf
Np 237.00 Np.upf
CELL_PARAMETERS angstrom
3.9479 0.0000 0.0000
0.0000 6.6273 0.1122
0.0000 -2.3118 6.4300
ATOMIC_POSITIONS crystal
Cr 0.0000 0.0000 0.0000
Se 0.5000 0.2249 0.2362
Se 0.0000 0.7661 0.2529
Se 0.0000 0.2339 0.7471
Li 0.0000 0.5000 0.5000
Se 0.5000 0.7751 0.7638
Li 0.5000 0.0000 0.5000
Np 0.5000 0.5000 0.0000


4.
! PBE-GGA LiNpCrSe4, relaxed; values from VASP
! symmetry: No. 74
! Fermi-level density of states: 14.448 states/eV/cell
! formation energy without anion corrections: -621 kJ/mol of formula units
&SYSTEM
  ibrav = 0, nat = 14, ntyp = 4
/
ATOMIC_SPECIES
Se 78.96 Se.upf
Np 237.00 Np.upf
Li 6.94 Li.upf
Cr 52.00 Cr.upf
CELL_PARAMETERS angstrom
7.7128 0.0000 0.0000
3.8564 6.7585 -0.2348
3.8564 1.8353 6.5088
ATOMIC_POSITIONS crystal
Se 0.2605 0.1962 0.2827
Np 0.0000 0.0000 0.0000
Se 0.7395 0.2173 0.3038
Se 0.7476 0.7571 0.2571
Np 0.0000 0.5000 0.5000
Se 0.2383 0.7571 0.2571
Li 0.3556 0.3944 0.8944
Se 0.7617 0.2429 0.7429
Se 0.7395 0.8038 0.7173
Li 0.6444 0.6056 0.1056
Se 0.2605 0.7827 0.6962
Cr 0.5000 0.0000 0.5000
Cr 0.0000 0.0000 0.5000
Se 0.2524 0.2429 0.7429


5.
! PBE-GGA Li4Np3CrSe8, relaxed; values from VASP
! symmetry: No. 166
! Fermi-level density of states: 30.127 states/eV/cell
! formation energy without anion corrections: -1678 kJ/mol of formula units
&SYSTEM
  ibrav = 0, nat = 16, ntyp = 4
/
ATOMIC_SPECIES
Li 6.94 Li.upf
Np 237.00 Np.upf
Se 78.96 Se.upf
Cr 52.00 Cr.upf
CELL_PARAMETERS angstrom
-1.2018 -4.9052 -6.2062
7.2372 -3.1230 1.0669
-5.2428 0.1656 6.0423
ATOMIC_POSITIONS crystal
Li 0.5000 0.0000 0.5000
Np 0.5000 0.5000 0.5000
Li 0.5000 0.0000 0.0000
Se 0.2465 0.2395 0.4930
Se 0.7535 0.7605 0.5070
Li 0.0000 0.0000 0.5000
Se 0.2416 0.7482 0.4832
Se 0.7585 0.2519 0.9934
Np 0.5000 0.5000 0.0000
Cr 0.0000 0.5000 0.0000
Se 0.7651 0.7481 0.0066
Se 0.2349 0.2519 0.9934
Li 0.0000 0.0000 0.0000
Se 0.2415 0.7481 0.0066
Np 0.0000 0.5000 0.5000
Se 0.7584 0.2518 0.5168


6.
! PBE-GGA Li3NpCr2Se6, relaxed; values from VASP
! symmetry: No. 12
! Fermi-level density of states: 7.233 states/eV/cell
! formation energy without anion corrections: -1107 kJ/mol of formula units
&SYSTEM
  ibrav = 0, nat = 12, ntyp = 4
/
ATOMIC_SPECIES
Se 78.96 Se.upf
Np 237.00 Np.upf
Cr 52.00 Cr.upf
Li 6.94 Li.upf
CELL_PARAMETERS angstrom
-2.3558 3.1981 5.2495
-1.1143 -6.4509 -0.6926
6.5823 -0.2030 1.7050
ATOMIC_POSITIONS crystal
Se 0.9211 0.5622 0.7623
Np 0.0000 0.0000 0.0000
Se 0.0789 0.4378 0.2377
Cr 0.3329 0.6671 0.0000
Se 0.5622 0.9211 0.7623
Se 0.4378 0.0789 0.2377
Se 0.7206 0.7206 0.2388
Se 0.2794 0.2794 0.7612
Cr 0.6671 0.3329 0.0000
Li 0.1617 0.8383 0.5000
Li 0.8383 0.1617 0.5000
Li 0.5000 0.5000 0.5000